A plane-wave DFT calculation with PBE was carried out for crystalline CaTl2Br at its relaxed geometry.

Cell lengths 8.010, 8.010, 8.010 Å; angles 90.00, 90.00, 90.00 degrees
Positions (direct):
Ca: 0.000 0.000 0.000
Ca: 0.000 0.500 0.500
Ca: 0.500 0.000 0.500
Ca: 0.500 0.500 0.000
Tl: 0.250 0.250 0.250
Tl: 0.250 0.250 0.750
Tl: 0.250 0.750 0.250
Tl: 0.250 0.750 0.750
Tl: 0.750 0.250 0.250
Tl: 0.750 0.250 0.750
Tl: 0.750 0.750 0.250
Tl: 0.750 0.750 0.750
Br: 0.000 0.000 0.500
Br: 0.000 0.500 0.000
Br: 0.500 0.000 0.000
Br: 0.500 0.500 0.500

Summary:
DFT total energy = -2.330 eV/atom
formation energy from raw total energies = -0.228 eV/atom
magnetization = 0.00 μB per formula unit
polymorph energy (0 for the lowest one) = 473 meV per atom
crystal system = cubic

A plane-wave DFT calculation with PBE was carried out for crystalline CaTl2Br at its relaxed geometry.

Cell lengths 10.601, 3.766, 6.396 Å; angles 90.00, 101.00, 90.00 degrees
Positions (direct):
Ca: 0.000 0.000 0.000
Ca: 0.500 0.500 0.000
Tl: 0.014 0.500 0.468
Tl: 0.259 0.000 0.651
Tl: 0.514 0.000 0.468
Tl: 0.759 0.500 0.651
Br: 0.219 0.500 0.095
Br: 0.719 0.000 0.095

Summary:
DFT total energy = -2.679 eV/atom
formation energy from raw total energies = -0.578 eV/atom
magnetization = 0.00 μB per formula unit
polymorph energy (0 for the lowest one) = 123 meV per atom
crystal system = monoclinic

A plane-wave DFT calculation with PBE was carried out for crystalline CaTlBr5 at its relaxed geometry.

Cell lengths 7.759, 7.759, 10.789 Å; angles 109.70, 109.70, 88.55 degrees
Positions (direct):
Ca: 0.000 0.000 0.000
Ca: 0.000 0.000 0.500
Tl: 0.389 0.611 0.750
Tl: 0.611 0.389 0.250
Br: 0.074 0.926 0.250
Br: 0.246 0.348 0.155
Br: 0.254 0.709 0.527
Br: 0.291 0.746 0.973
Br: 0.348 0.246 0.655
Br: 0.652 0.754 0.345
Br: 0.709 0.254 0.027
Br: 0.746 0.291 0.473
Br: 0.754 0.652 0.845
Br: 0.926 0.074 0.750

Summary:
DFT total energy = -2.910 eV/atom
formation energy from raw total energies = -1.091 eV/atom
magnetization = 0.00 μB per formula unit
crystal system = monoclinic

A plane-wave DFT calculation with PBE was carried out for crystalline CaTlBr3 at its relaxed geometry.

Cell lengths 5.868, 5.868, 5.868 Å; angles 90.00, 90.00, 90.00 degrees
Positions (direct):
Ca: 0.000 0.000 0.000
Tl: 0.500 0.500 0.500
Br: 0.000 0.500 0.500
Br: 0.500 0.000 0.500
Br: 0.500 0.500 0.000

Summary:
DFT total energy = -2.608 eV/atom
formation energy from raw total energies = -0.730 eV/atom
magnetization = 0.15 μB per formula unit
crystal system = cubic

A plane-wave DFT calculation with PBE was carried out for crystalline Ca2TlBr2 at its relaxed geometry.

Cell lengths 4.884, 4.884, 14.084 Å; angles 90.00, 90.00, 90.00 degrees
Positions (direct):
Ca: 0.000 0.000 0.127
Ca: 0.000 0.000 0.873
Ca: 0.500 0.500 0.373
Ca: 0.500 0.500 0.627
Tl: 0.000 0.000 0.500
Tl: 0.500 0.500 0.000
Br: 0.000 0.500 0.250
Br: 0.000 0.500 0.750
Br: 0.500 0.000 0.250
Br: 0.500 0.000 0.750

Summary:
DFT total energy = -3.009 eV/atom
formation energy from raw total energies = -1.066 eV/atom
magnetization = 0.00 μB per formula unit
crystal system = tetragonal

A plane-wave DFT calculation with PBE was carried out for crystalline CaTmTlBr6 at its relaxed geometry.

Cell lengths 7.408, 7.408, 14.415 Å; angles 90.00, 90.00, 120.00 degrees
Positions (direct):
Ca: 0.333 0.667 0.250
Ca: 0.667 0.333 0.750
Tm: 0.333 0.667 0.750
Tm: 0.667 0.333 0.250
Tl: 0.000 0.000 0.000
Tl: 0.000 0.000 0.500
Br: 0.014 0.376 0.638
Br: 0.014 0.638 0.862
Br: 0.362 0.376 0.862
Br: 0.362 0.986 0.638
Br: 0.376 0.014 0.138
Br: 0.376 0.362 0.362
Br: 0.624 0.638 0.638
Br: 0.624 0.986 0.862
Br: 0.638 0.014 0.362
Br: 0.638 0.624 0.138
Br: 0.986 0.362 0.138
Br: 0.986 0.624 0.362

Summary:
DFT total energy = -3.816 eV/atom
formation energy from raw total energies = -1.719 eV/atom
magnetization = 0.00 μB per formula unit
crystal system = trigonal

A plane-wave DFT calculation with PBE was carried out for crystalline Ca2TmTlBr8 at its relaxed geometry.

Cell lengths 6.698, 9.075, 7.032 Å; angles 90.00, 90.48, 90.00 degrees
Positions (direct):
Ca: 0.000 0.248 0.000
Ca: 0.000 0.752 0.000
Tm: 0.500 0.500 0.500
Tl: 0.500 0.000 0.500
Br: 0.229 0.000 0.871
Br: 0.242 0.500 0.823
Br: 0.262 0.287 0.334
Br: 0.262 0.713 0.334
Br: 0.738 0.287 0.666
Br: 0.738 0.713 0.666
Br: 0.758 0.500 0.177
Br: 0.771 0.000 0.129

Summary:
DFT total energy = -3.762 eV/atom
formation energy from raw total energies = -1.743 eV/atom
magnetization = 0.00 μB per formula unit
crystal system = monoclinic

A plane-wave DFT calculation with PBE was carried out for crystalline CaUTlBr6 at its relaxed geometry.

Cell lengths 7.579, 7.579, 14.406 Å; angles 90.00, 90.00, 120.00 degrees
Positions (direct):
Ca: 0.333 0.667 0.250
Ca: 0.667 0.333 0.750
U: 0.333 0.667 0.750
U: 0.667 0.333 0.250
Tl: 0.000 0.000 0.000
Tl: 0.000 0.000 0.500
Br: 0.000 0.367 0.135
Br: 0.000 0.367 0.635
Br: 0.000 0.633 0.365
Br: 0.000 0.633 0.865
Br: 0.367 0.000 0.135
Br: 0.367 0.000 0.635
Br: 0.367 0.367 0.365
Br: 0.367 0.367 0.865
Br: 0.633 0.000 0.365
Br: 0.633 0.000 0.865
Br: 0.633 0.633 0.135
Br: 0.633 0.633 0.635

Summary:
DFT total energy = -4.302 eV/atom
formation energy from raw total energies = -1.447 eV/atom
magnetization = 3.00 μB per formula unit
crystal system = trigonal